# 1
{
  "formula": "Y2Al3Tc",
  "functional": "GGA-PBE",
  "state": "optimized geometry",
  "magmom_total_mub_per_atom": 0.00,
  "de_polymorph_kj_per_mol_fu": 0,
  "lattice": [[5.526, 0.000, 0.000], [-2.763, 4.786, 0.000], [0.000, 0.000, 8.930]],
  "species": ["Y", "Y", "Y", "Y", "Al", "Al", "Al", "Al", "Al", "Al", "Tc", "Tc"],
  "fractional_positions": [[0.333, 0.667, 0.052], [0.333, 0.667, 0.448], [0.667, 0.333, 0.552], [0.667, 0.333, 0.948], [0.162, 0.324, 0.750], [0.162, 0.838, 0.750], [0.324, 0.162, 0.250], [0.676, 0.838, 0.750], [0.838, 0.162, 0.250], [0.838, 0.676, 0.250], [0.000, 0.000, 0.000], [0.000, 0.000, 0.500]]
}

=====

# 2
{
  "formula": "YAl2Tc2",
  "functional": "GGA-PBE",
  "state": "optimized geometry",
  "magmom_total_mub_per_atom": 0.00,
  "de_polymorph_kj_per_mol_fu": 39,
  "lattice": [[-2.189, 2.189, 4.953], [2.189, -2.189, 4.953], [2.189, 2.189, -4.953]],
  "species": ["Y", "Al", "Al", "Tc", "Tc"],
  "fractional_positions": [[0.000, 0.000, 0.000], [0.250, 0.750, 0.500], [0.750, 0.250, 0.500], [0.384, 0.384, 0.000], [0.616, 0.616, 0.000]]
}